No. 1
! SrSmTe2O8 (PBE, optimized geometry); values from VASP
&SYSTEM
  ibrav = 0, nat = 12, ntyp = 4
/
ATOMIC_SPECIES
O 16.00 O.upf
Sr 87.62 Sr.upf
Te 127.60 Te.upf
Sm 150.36 Sm.upf
CELL_PARAMETERS angstrom
-2.4604 -1.7572 -4.5405
-3.0893 -3.3685 2.9777
-1.2936 6.7950 1.3481
ATOMIC_POSITIONS crystal
O 0.0866 0.9970 0.6835
O 0.5968 0.6865 0.6835
Sr 0.7500 0.2500 0.5000
O 0.7490 0.8214 0.1620
O 0.3135 0.9134 0.3165
Te 0.5000 0.5000 0.0000
O 0.6594 0.2510 0.8380
Sm 0.0000 0.0000 0.0000
O 0.0030 0.4032 0.3165
Te 0.2500 0.7500 0.5000
O 0.1786 0.5870 0.8380
O 0.4130 0.3406 0.1620
! - Space group: I-4
! - Magnetization: 0.85 μB per formula unit
! - Density of states at the Fermi level: 2.8 states/eV/f.u.
! - Formation energy (no corrections): -1.828 eV per atom

No. 2
! CaAcGdDy (PBE, optimized geometry); values from VASP
&SYSTEM
  ibrav = 0, nat = 4, ntyp = 4
/
ATOMIC_SPECIES
Ca 40.08 Ca.upf
Dy 162.50 Dy.upf
Gd 157.25 Gd.upf
Ac 227.00 Ac.upf
CELL_PARAMETERS angstrom
-1.5848 -4.4768 3.5671
4.0662 -3.9268 1.8231
1.7550 -0.0402 5.6742
ATOMIC_POSITIONS crystal
Ca 0.2500 0.2500 0.2500
Dy 0.7500 0.7500 0.7500
Gd 0.5000 0.5000 0.5000
Ac 0.0000 0.0000 0.0000
! - Space group: F-43m
! - Magnetization: 7.73 μB per formula unit
! - Density of states at the Fermi level: 6.5 states/eV/f.u.
! - Energy: -6.087 eV per atom

No. 3
! ScTa2Fe (PBE, optimized geometry); values from VASP
&SYSTEM
  ibrav = 0, nat = 4, ntyp = 3
/
ATOMIC_SPECIES
Fe 55.84 Fe.upf
Ta 180.95 Ta.upf
Sc 44.96 Sc.upf
CELL_PARAMETERS angstrom
5.3578 0.0438 0.0000
-2.6025 4.6835 0.0000
0.0000 0.0000 2.7902
ATOMIC_POSITIONS crystal
Fe 0.5000 0.0000 0.5000
Ta 0.5000 0.5000 0.0000
Ta 0.0000 0.0000 0.0000
Sc 0.0000 0.5000 0.5000
! - Space group: Cmmm
! - Polymorph energy (0 for the lowest one): 342 meV/atom
! - Magnetization: 1.76 μB per formula unit
! - Density of states at the Fermi level: 5.7 states/eV/f.u.

No. 4
! Ac2Tb12Nd5 (PBE, optimized geometry); values from VASP
&SYSTEM
  ibrav = 0, nat = 19, ntyp = 3
/
ATOMIC_SPECIES
Tb 158.93 Tb.upf
Ac 227.00 Ac.upf
Nd 144.24 Nd.upf
CELL_PARAMETERS angstrom
-1.3365 -2.1546 -6.8306
8.2114 12.4637 -1.6521
-2.7553 -15.3466 5.3791
ATOMIC_POSITIONS crystal
Tb 0.4614 0.4465 0.0531
Tb 0.9595 0.9190 0.1174
Tb 0.9851 0.4465 0.0531
Ac 0.7508 0.0000 0.0000
Tb 0.5408 0.0817 0.8798
Nd 0.2502 0.5003 0.5008
Tb 0.0405 0.0810 0.8826
Ac 0.2492 0.0000 0.0000
Nd 0.4967 0.9935 0.3992
Tb 0.9522 0.3971 0.6122
Tb 0.5386 0.5535 0.9469
Tb 0.0478 0.6029 0.3878
Tb 0.5552 0.6029 0.3878
Nd 0.7498 0.4997 0.4992
Nd 0.0000 0.0000 0.5000
Tb 0.4448 0.3971 0.6122
Tb 0.0149 0.5535 0.9469
Nd 0.5033 0.0065 0.6008
Tb 0.4592 0.9183 0.1202
! - Space group: C2/m
! - Magnetization: 0.00 μB per formula unit
! - Density of states at the Fermi level: 25.6 states/eV/f.u.
! - Energy: -4.489 eV per atom